(1)
Computed, not measured: a relaxed TiPbCl6 crystal at the PBE-GGA level of DFT.

Cell lengths 6.5694, 6.5694, 17.9225 Å; angles 90.00, 90.00, 120.00 degrees
With the nearest neighbours (Å) after each atom.
Space group R-3 (No. 148, hexagonal axes)
Asymmetric unit:
1 Ti 0.0000 0.0000 0.0000 x3  6 Cl 2.36
2 Pb 0.0000 0.0000 0.5000 x3  6 Cl 2.93
3 Cl 0.0208 0.7158 0.9247 x18  1 Ti 2.36

Output
DFT total energy in eV per atom: -4.1909



(2)
Computed, not measured: a relaxed YP3Pb crystal at the PBE-GGA level of DFT.

Cell lengths 5.0922, 5.0922, 5.0922 Å; angles 90.00, 90.00, 90.00 degrees
With the nearest neighbours (Å) after each atom.
Space group Pm-3m (No. 221)
Asymmetric unit:
1 Y 0.0000 0.0000 0.0000 x1  12 P 3.60
2 P 0.0000 0.5000 0.5000 x3  2 Pb 2.55
3 Pb 0.5000 0.5000 0.5000 x1  6 P 2.55

Output
Energy relative to the elements in meV per atom: 686.7



(3)
Computed, not measured: a relaxed CaSi4Ag crystal at the PBE-GGA level of DFT.

Cell lengths 7.4876, 7.4876, 7.4876 Å; angles 90.00, 90.00, 90.00 degrees
With the nearest neighbours (Å) after each atom.
Space group F-43m (No. 216)
Asymmetric unit:
1 Ca 0.0000 0.0000 0.0000 x4  12 Si 3.11, 4 Ag 3.24
2 Si 0.1241 0.1241 0.6241 x16  6 Si 2.63-2.67
3 Ag 0.2500 0.2500 0.2500 x4  12 Si 3.10, 4 Ca 3.24

Output
DFT total energy in eV per atom: -4.3323



(4)
Computed, not measured: a relaxed YHoHg2 crystal at the PBE-GGA level of DFT.

Cell lengths 6.4931, 3.7364, 9.4116 Å; angles 90.00, 103.44, 90.00 degrees
With the nearest neighbours (Å) after each atom.
Space group Cm (No. 8)
Asymmetric unit:
1 Y 0.0000 0.0000 0.0000 x2  6 Hg 3.16-3.17
2 Ho 0.3336 0.5000 0.5010 x2  6 Hg 3.12-3.13
3 Hg 0.2487 0.0000 0.7476 x2  3 Ho 3.12-3.13, 3 Y 3.16-3.17
4 Hg 0.4173 0.0000 0.2531 x2  3 Ho 3.13, 3 Y 3.17

Output
Energy relative to the elements in meV per atom: -340.6



(5)
Computed, not measured: a relaxed KCePb2Br8 crystal at the PBE-GGA level of DFT.

Cell lengths 6.9510, 9.3004, 7.3163 Å; angles 90.00, 90.74, 90.00 degrees
With the nearest neighbours (Å) after each atom.
Space group P2/m (No. 10)
Asymmetric unit:
1 K 0.0000 0.0000 0.0000 x1  6 Br 3.26-3.27
2 Ce 0.0000 0.5000 0.0000 x1  6 Br 2.92-2.97
3 Pb 0.5000 0.2459 0.5000 x2  6 Br 2.98-3.21
4 Br 0.2437 0.2746 0.1566 x4  1 Ce 2.92, 1 Pb 3.07, 1 K 3.26
5 Br 0.2460 0.5000 0.6712 x2  1 Ce 2.97, 2 Pb 3.21
6 Br 0.2682 0.0000 0.6357 x2  2 Pb 2.98, 1 K 3.27

Output
DFT total energy in eV per atom: -3.6608



(6)
Computed, not measured: a relaxed Pr2Hg3Au4 crystal at the PBE-GGA level of DFT.

Cell lengths 8.5448, 5.0610, 9.8265 Å; angles 90.00, 95.04, 90.00 degrees
With the nearest neighbours (Å) after each atom.
Space group C2/m (No. 12)
Asymmetric unit:
1 Pr 0.1514 0.0000 0.2763 x4  7 Au 3.07-3.17, 1 Hg 3.31
2 Hg 0.0000 0.5000 0.5000 x2  6 Au 3.00-3.02
3 Hg 0.1905 0.0000 0.9106 x4  5 Au 2.92-3.18, 2 Hg 3.20
4 Au 0.0259 0.5000 0.8570 x4  1 Au 2.88, 4 Hg 2.92-3.18, 3 Pr 3.16-3.17
5 Au 0.1732 0.0000 0.5902 x4  4 Hg 3.00-3.14, 4 Pr 3.07-3.17, 1 Au 3.31

Output
Energy relative to the elements in meV per atom: -486.0



(7)
Computed, not measured: a relaxed Zr2UBi crystal at the PBE-GGA level of DFT.

Cell lengths 3.7360, 3.7360, 6.7678 Å; angles 90.00, 90.00, 90.00 degrees
With the nearest neighbours (Å) after each atom.
Space group P4/mmm (No. 123)
Asymmetric unit:
1 Zr 0.0000 0.0000 0.2413 x2  4 U 3.11, 4 Bi 3.17, 1 Zr 3.27
2 U 0.5000 0.5000 0.0000 x1  8 Zr 3.11, 2 Bi 3.38
3 Bi 0.5000 0.5000 0.5000 x1  8 Zr 3.17, 2 U 3.38

Output
Energy relative to the elements in meV per atom: 44.3



(8)
Computed, not measured: a relaxed Cs2SbPdF6 crystal at the PBE-GGA level of DFT.

Cell lengths 6.3242, 6.3242, 10.5726 Å; angles 90.00, 90.00, 90.00 degrees
With the nearest neighbours (Å) after each atom.
Space group I4/mmm (No. 139)
Asymmetric unit:
1 Cs 0.0000 0.5000 0.2500 x4  12 F 3.20-3.46
2 Sb 0.0000 0.0000 0.0000 x2  6 F 2.18-2.21
3 Pd 0.0000 0.0000 0.5000 x2  4 F 2.26
4 F 0.0000 0.0000 0.2059 x4  1 Sb 2.18
5 F 0.2474 0.2474 0.0000 x8  1 Sb 2.21, 1 Pd 2.26

Output
DFT total energy in eV per atom: -4.3818



(9)
Computed, not measured: a relaxed In2SbPb2 crystal at the PBE-GGA level of DFT.

Cell lengths 7.9097, 7.9097, 4.8656 Å; angles 90.00, 90.00, 90.00 degrees
With the nearest neighbours (Å) after each atom.
Space group P4/mbm (No. 127)
Asymmetric unit:
1 In 0.1336 0.3664 0.0000 x4  1 In 2.99, 2 Sb 3.08, 2 Pb 3.21
2 Sb 0.0000 0.0000 0.0000 x2  4 In 3.08
3 Pb 0.1789 0.6789 0.5000 x4  6 In 3.21-3.49

Output
DFT total energy in eV per atom: -3.2982



(10)
Computed, not measured: a relaxed Ho3P2Rh5 crystal at the PBE-GGA level of DFT.

Cell lengths 9.7789, 9.7789, 3.6121 Å; angles 90.00, 90.00, 90.00 degrees
With the nearest neighbours (Å) after each atom.
Space group P4/mbm (No. 127)
Asymmetric unit:
1 Ho 0.0000 0.0000 0.0000 x2  8 Rh 2.91
2 Ho 0.1720 0.3280 0.0000 x4  3 P 2.80-2.95, 2 Rh 2.99
3 P 0.1258 0.6258 0.0000 x4  6 Rh 2.40-2.51
4 Rh 0.0000 0.5000 0.5000 x2  4 P 2.51, 4 Rh 2.79
5 Rh 0.0694 0.7767 0.5000 x8  2 P 2.40

Output
Energy relative to the elements in meV per atom: -970.9



(11)
Computed, not measured: a relaxed Li2YScPd4 crystal at the PBE-GGA level of DFT.

Cell lengths 4.5832, 4.5832, 22.7467 Å; angles 90.00, 90.00, 120.00 degrees
With the nearest neighbours (Å) after each atom.
Space group R-3m (No. 166, hexagonal axes)
Asymmetric unit:
1 Li 0.0000 0.0000 0.2478 x6  8 Pd 2.72-3.03
2 Y 0.0000 0.0000 0.0000 x3  8 Pd 2.86-2.92
3 Sc 0.0000 0.0000 0.5000 x3  8 Pd 2.71-2.79
4 Pd 0.0000 0.0000 0.1282 x6  4 Li 2.72-2.82, 3 Sc 2.79, 1 Y 2.92
5 Pd 0.0000 0.0000 0.3809 x6  1 Sc 2.71, 4 Li 2.78-3.03, 3 Y 2.86

Output
Energy relative to the elements in meV per atom: -695.9



(12)
Computed, not measured: a relaxed Cs5Hg3F12 crystal at the PBE-GGA level of DFT.

Cell lengths 16.3741, 16.3741, 16.3741 Å; angles 90.00, 90.00, 90.00 degrees
With the nearest neighbours (Å) after each atom.
Space group Ia-3d (No. 230)
Asymmetric unit:
1 Cs 0.0000 0.0000 0.0000 x16  6 F 2.96
2 Cs 0.0000 0.2500 0.3750 x24  8 F 3.04-3.36
3 Hg 0.0000 0.2500 0.1250 x24  4 F 2.17
4 F 0.0336 0.0524 0.3306 x96  1 Hg 2.17

Output
DFT total energy in eV per atom: -3.4167



(13)
Computed, not measured: a relaxed CdTcO2 crystal at the PBE-GGA level of DFT.

Cell lengths 6.1095, 6.1095, 8.6935 Å; angles 90.00, 90.00, 90.00 degrees
With the nearest neighbours (Å) after each atom.
Space group I-42d (No. 122)
Asymmetric unit:
1 Cd 0.0000 0.0000 0.0000 x4  12 O 3.57-3.60, 4 Cd 3.75, 4 Tc 3.75
2 Tc 0.0000 0.0000 0.5000 x4  4 O 1.87
3 O 0.0024 0.7500 0.6250 x8  2 Tc 1.87

Output
DFT total energy in eV per atom: -5.9242



(14)
Computed, not measured: a relaxed LaPm2As crystal at the PBE-GGA level of DFT.

Cell lengths 4.8191, 4.8191, 4.7082 Å; angles 90.00, 90.00, 90.00 degrees
With the nearest neighbours (Å) after each atom.
Space group P4/mmm (No. 123)
Asymmetric unit:
1 La 0.0000 0.0000 0.0000 x1  8 Pm 3.37, 4 As 3.41
2 Pm 0.0000 0.5000 0.5000 x2  4 As 3.37, 4 La 3.37, 4 Pm 3.41
3 As 0.5000 0.5000 0.0000 x1  8 Pm 3.37, 4 La 3.41

Output
Energy relative to the elements in meV per atom: -511.2



(15)
Computed, not measured: a relaxed CsSr2ZrO crystal at the PBE-GGA level of DFT.

Cell lengths 6.3255, 6.3255, 6.8446 Å; angles 90.00, 90.00, 90.00 degrees
With the nearest neighbours (Å) after each atom.
Space group P4/mmm (No. 123)
Asymmetric unit:
1 Cs 0.0000 0.0000 0.0000 x1  2 Zr 3.42
2 Sr 0.0000 0.5000 0.5000 x2  2 Zr 3.16
3 Zr 0.0000 0.0000 0.5000 x1  4 Sr 3.16, 2 Cs 3.42
4 O 0.5000 0.5000 0.0000 x1  4 Cs 4.47, 8 Sr 4.66

Output
DFT total energy in eV per atom: -2.4571



(16)
Computed, not measured: a relaxed PtAuF2 crystal at the PBE-GGA level of DFT.

Cell lengths 2.7613, 2.7613, 29.4442 Å; angles 90.00, 90.00, 120.00 degrees
With the nearest neighbours (Å) after each atom.
Space group R-3m (No. 166, hexagonal axes)
Asymmetric unit:
1 Pt 0.0000 0.0000 0.0000 x3  2 F 1.92
2 Au 0.0000 0.0000 0.5000 x3  6 Au 2.76
3 F 0.0000 0.0000 0.0653 x6  1 Pt 1.92

Output
DFT total energy in eV per atom: -3.9001



(17)
Computed, not measured: a relaxed RbTi3As crystal at the PBE-GGA level of DFT.

Cell lengths 4.7000, 4.7000, 4.7000 Å; angles 90.00, 90.00, 90.00 degrees
With the nearest neighbours (Å) after each atom.
Space group Pm-3m (No. 221)
Asymmetric unit:
1 Rb 0.0000 0.0000 0.0000 x1  6 Ti 2.35
2 Ti 0.0000 0.0000 0.5000 x3  2 Rb 2.35
3 As 0.5000 0.5000 0.5000 x1  12 Ti 3.32

Output
Energy relative to the elements in meV per atom: 2020.1



(18)
Computed, not measured: a relaxed HfTcF2 crystal at the PBE-GGA level of DFT.

Cell lengths 2.8327, 2.8327, 23.2504 Å; angles 90.00, 90.00, 120.00 degrees
With the nearest neighbours (Å) after each atom.
Space group R-3m (No. 166, hexagonal axes)
Asymmetric unit:
1 Hf 0.0000 0.0000 0.0000 x3  6 F 2.31
2 Tc 0.0000 0.0000 0.5000 x3  2 F 2.24
3 F 0.0000 0.0000 0.4036 x6  1 Tc 2.24, 3 Hf 2.31

Output
DFT total energy in eV per atom: -7.1781



(19)
Computed, not measured: a relaxed Mg2ReRh crystal at the PBE-GGA level of DFT.

Cell lengths 5.4295, 8.5749, 2.7315 Å; angles 90.00, 90.00, 90.00 degrees
With the nearest neighbours (Å) after each atom.
Space group Cmmm (No. 65)
Asymmetric unit:
1 Mg 0.2500 0.2500 0.0000 x4  4 Mg 2.71-2.73, 4 Re 2.88, 4 Rh 2.88
2 Re 0.0000 0.0000 0.5000 x2  2 Rh 2.71, 2 Re 2.73, 8 Mg 2.88
3 Rh 0.0000 0.5000 0.5000 x2  2 Re 2.71, 2 Rh 2.73, 8 Mg 2.88

Output
Energy relative to the elements in meV per atom: 135.2



(20)
Computed, not measured: a relaxed LiNbGe2 crystal at the PBE-GGA level of DFT.

Cell lengths 3.3603, 3.3603, 5.7286 Å; angles 90.00, 90.00, 90.00 degrees
With the nearest neighbours (Å) after each atom.
Space group P4/mmm (No. 123)
Asymmetric unit:
1 Li 0.0000 0.0000 0.0000 x1  8 Ge 2.77, 2 Nb 2.86
2 Nb 0.0000 0.0000 0.5000 x1  8 Ge 2.78, 2 Li 2.86
3 Ge 0.5000 0.5000 0.2478 x2  4 Li 2.77, 4 Nb 2.78, 2 Ge 2.84-2.89

Output
Energy relative to the elements in meV per atom: -196.6



(21)
Computed, not measured: a relaxed TbDy4S6 crystal at the PBE-GGA level of DFT.

Cell lengths 3.8306, 12.8610, 19.8219 Å; angles 90.00, 90.00, 90.00 degrees
With the nearest neighbours (Å) after each atom.
Space group Cmcm (No. 63)
Asymmetric unit:
1 Tb 0.0000 0.1520 0.2500 x4  6 S 2.77-2.84
2 Dy 0.0000 0.0914 0.6278 x8  6 S 2.73-2.79
3 Dy 0.0000 0.3611 0.5398 x8  6 S 2.73-2.81
4 S 0.0000 0.0000 0.0000 x4  6 Dy 2.74-2.79
5 S 0.0000 0.1929 0.7500 x4  2 Dy 2.75, 2 Tb 2.77
6 S 0.0000 0.2695 0.0891 x8  5 Dy 2.73-2.81
7 S 0.0000 0.4494 0.6672 x8  3 Dy 2.76-2.77, 2 Tb 2.84

Output
DFT total energy in eV per atom: -6.3864